# ErPa2Co2

A relaxed structure of ErPa2Co2 (GGA-PBE, Alexandria via LeMat-Bulk).

a b c (Å): 4.1867 7.1216 7.7423
angles (deg): 89.69 74.45 72.93
Last column: nearest neighbours and their distance in Å.
Space group P-1 (No. 2)
Asymmetric unit:
Er (0.1720, 0.4796, 0.1775)  3 Co 2.68-2.94
Pa (0.2997, 0.7971, 0.6008)  4 Co 2.41-2.70
Pa (0.4660, 0.9038, 0.1648)  6 Co 2.79-2.97, 1 Pa 2.88
Co (0.1066, 0.1928, 0.5970)  5 Pa 2.56-2.86, 1 Er 2.68
Co (0.1323, 0.8100, 0.9248)  1 Pa 2.41

Properties
For the density of states at the Fermi level, the calculation gives 1.2557 states/eV/atom. Its total moment is 0.0 μB/cell. As for the formation energy: -0.14 eV per atom.

# CdPtS2I

A relaxed structure of CdPtS2I (GGA-PBE, Alexandria via LeMat-Bulk).

a b c (Å): 5.0288 5.0288 5.6186
angles (deg): 90.00 90.00 90.00
Last column: nearest neighbours and their distance in Å.
Space group P4/mmm (No. 123)
Asymmetric unit:
Cd (0.0000, 0.0000, 0.0000)  2 I 2.81
Pt (0.5000, 0.5000, 0.0000)  4 Cd 3.56, 8 S 3.77
S (0.0000, 0.5000, 0.5000)  2 I 2.51
I (0.0000, 0.0000, 0.5000)  4 S 2.51, 2 Cd 2.81

Properties
The calculation puts the formation energy without anion corrections at 1.32 eV/atom. For the density of states at the Fermi level, the calculation gives 0.7069 states/eV/atom. Its total moment is 0.0 μB/cell.

# Zr3NbOs

A relaxed structure of Zr3NbOs (GGA-PBE, Alexandria via LeMat-Bulk).

a b c (Å): 4.9327 4.9327 4.9327
angles (deg): 90.00 90.00 90.00
Last column: nearest neighbours and their distance in Å.
Space group Pm-3m (No. 221)
Asymmetric unit:
Zr (0.0000, 0.0000, 0.5000)  2 Nb 2.47
Nb (0.0000, 0.0000, 0.0000)  6 Zr 2.47
Os (0.5000, 0.5000, 0.5000)  12 Zr 3.49

Properties
For the energy above the most stable polymorph in this dataset, the calculation gives 0.721 eV/atom. For the density of states at the Fermi level, the calculation gives 1.7252 states/eV/atom. Its total moment is 0.0 μB/cell. As for the formation energy: 1.41 eV per atom.

# HSeBr

A relaxed structure of HSeBr (GGA-PBE, Alexandria via LeMat-Bulk).

a b c (Å): 4.9465 6.1334 6.4766
angles (deg): 61.83 82.35 69.32
Last column: nearest neighbours and their distance in Å.
Space group P-1 (No. 2)
Asymmetric unit:
H (0.0155, 0.2002, 0.1671)  1 Se 1.51
Se (0.1876, 0.8054, 0.6366)  1 H 1.51
Br (0.3383, 0.3041, 0.8310)  1 H 2.49, 1 Se 2.56

Properties
For the energy above the most stable polymorph in this dataset, the calculation gives 0.000 eV/atom. Its total moment is 0.0 μB/cell.

# KPPdO2

A relaxed structure of KPPdO2 (GGA-PBE, Alexandria via LeMat-Bulk).

a b c (Å): 4.3660 4.3660 4.4496
angles (deg): 90.00 90.00 90.00
Last column: nearest neighbours and their distance in Å.
Space group P4/mmm (No. 123)
Asymmetric unit:
K (0.0000, 0.0000, 0.0000)  4 P 3.09, 8 O 3.12
P (0.5000, 0.5000, 0.0000)  2 Pd 2.22
Pd (0.5000, 0.5000, 0.5000)  4 O 2.18, 2 P 2.22
O (0.0000, 0.5000, 0.5000)  2 Pd 2.18

Properties
The calculation puts the formation energy without anion corrections at 0.08 eV/atom. For the energy above the most stable polymorph in this dataset, the calculation gives 0.000 eV/atom. For the density of states at the Fermi level, the calculation gives 0.8791 states/eV/atom. Its total moment is 0.5 μB/cell.

# Fe2AgBr

A relaxed structure of Fe2AgBr (GGA-PBE, Alexandria via LeMat-Bulk).

a b c (Å): 6.4516 6.4516 6.4516
angles (deg): 90.00 90.00 90.00
Last column: nearest neighbours and their distance in Å.
Space group F-43m (No. 216)
Asymmetric unit:
Fe (0.0000, 0.0000, 0.0000)  4 Fe 2.79, 4 Br 2.79
Fe (0.2500, 0.2500, 0.2500)  4 Fe 2.79, 4 Ag 2.79
Ag (0.0000, 0.0000, 0.5000)  4 Fe 2.79, 4 Br 2.79
Br (0.2500, 0.2500, 0.7500)  4 Fe 2.79, 4 Ag 2.79

Properties
The calculation puts the formation energy without anion corrections at 0.85 eV/atom. For the energy above the most stable polymorph in this dataset, the calculation gives 0.507 eV/atom. For the density of states at the Fermi level, the calculation gives 0.8488 states/eV/atom. Its total moment is 22.4 μB/cell.

# Zn6Ag3Au2

A relaxed structure of Zn6Ag3Au2 (GGA-PBE, Alexandria via LeMat-Bulk).

a b c (Å): 3.7154 3.7154 28.5630
angles (deg): 90.00 90.00 90.00
Last column: nearest neighbours and their distance in Å.
Space group I4/mmm (No. 139)
Asymmetric unit:
Zn (0.0000, 0.0000, 0.2273)  1 Au 2.60, 1 Ag 2.64
Zn (0.0000, 0.5000, 0.0692)  4 Zn 2.63, 2 Au 2.67, 2 Ag 2.71
Ag (0.0000, 0.0000, 0.3198)  5 Zn 2.64-2.95, 4 Au 2.91
Ag (0.0000, 0.0000, 0.5000)  8 Zn 2.71
Au (0.0000, 0.0000, 0.1361)  5 Zn 2.60-2.67, 4 Ag 2.91

Properties
For the energy above the most stable polymorph in this dataset, the calculation gives 0.033 eV/atom. For the density of states at the Fermi level, the calculation gives 0.2174 states/eV/atom. Its total moment is 0.0 μB/cell. As for the formation energy: -0.01 eV per atom.

# SmHfZnCd

A relaxed structure of SmHfZnCd (GGA-PBE, Alexandria via LeMat-Bulk).

a b c (Å): 7.1373 7.1373 7.1373
angles (deg): 90.00 90.00 90.00
Last column: nearest neighbours and their distance in Å.
Space group F-43m (No. 216)
Asymmetric unit:
Sm (0.0000, 0.0000, 0.0000)  4 Cd 3.09, 4 Zn 3.09
Hf (0.0000, 0.0000, 0.5000)  4 Zn 3.09, 4 Cd 3.09
Zn (0.2500, 0.2500, 0.7500)  4 Hf 3.09, 4 Sm 3.09
Cd (0.2500, 0.2500, 0.2500)  4 Hf 3.09, 4 Sm 3.09

Properties
For the density of states at the Fermi level, the calculation gives 1.4470 states/eV/atom. Its total moment is 0.2 μB/cell. As for the formation energy: -0.06 eV per atom.

# Ca4ReOs

A relaxed structure of Ca4ReOs (GGA-PBE, Alexandria via LeMat-Bulk).

a b c (Å): 8.2784 8.2784 8.2784
angles (deg): 90.00 90.00 90.00
Last column: nearest neighbours and their distance in Å.
Space group F-43m (No. 216)
Asymmetric unit:
Ca (0.1248, 0.1248, 0.1248)  6 Ca 2.92-2.93
Re (0.0000, 0.0000, 0.5000)  12 Ca 3.43, 4 Os 3.58
Os (0.2500, 0.2500, 0.7500)  12 Ca 3.43, 4 Re 3.58

Properties
For the density of states at the Fermi level, the calculation gives 0.9612 states/eV/atom. Its total moment is 12.8 μB/cell. As for the formation energy: 1.56 eV per atom.

# NaCaNb

A relaxed structure of NaCaNb (GGA-PBE, Alexandria via LeMat-Bulk).

a b c (Å): 3.2885 3.2896 16.9464
angles (deg): 89.03 88.85 68.61
Last column: nearest neighbours and their distance in Å.
Space group P1 (No. 1)
Asymmetric unit:
Na (0.0000, 0.0000, 0.0000)  4 Na 3.29, 2 Nb 3.31-3.32
Na (0.4597, 0.4530, 0.1890)  4 Na 3.29
Ca (0.5487, 0.5347, 0.5729)  2 Nb 3.24, 4 Ca 3.29
Ca (0.9614, 0.9515, 0.3778)  4 Ca 3.29
Nb (0.0244, 0.0147, 0.7300)  2 Nb 2.60
Nb (0.5157, 0.5100, 0.8377)  2 Nb 2.60

Properties
For the energy above the most stable polymorph in this dataset, the calculation gives 0.181 eV/atom. For the density of states at the Fermi level, the calculation gives 0.9364 states/eV/atom. Its total moment is 0.0 μB/cell. As for the formation energy: 0.37 eV per atom.

# Li2MgGa6

A relaxed structure of Li2MgGa6 (GGA-PBE, Alexandria via LeMat-Bulk).

a b c (Å): 7.6482 7.6482 3.2099
angles (deg): 90.00 90.00 120.00
Last column: nearest neighbours and their distance in Å.
Space group P6/mmm (No. 191)
Asymmetric unit:
Li (0.3333, 0.6667, 0.0000)  12 Ga 3.01, 2 Li 3.21
Mg (0.0000, 0.0000, 0.0000)  12 Ga 3.02, 2 Mg 3.21
Ga (0.0000, 0.3341, 0.5000)  3 Ga 2.54-2.56

Properties
For the energy above the most stable polymorph in this dataset, the calculation gives 0.011 eV/atom. For the density of states at the Fermi level, the calculation gives 0.3159 states/eV/atom. Its total moment is 0.0 μB/cell. As for the formation energy: -0.18 eV per atom.

# MgCr

A relaxed structure of MgCr (GGA-PBE, Alexandria via LeMat-Bulk).

a b c (Å): 2.6581 10.9607 4.2318
angles (deg): 90.00 90.00 90.00
Last column: nearest neighbours and their distance in Å.
Space group Cmcm (No. 63)
Asymmetric unit:
Mg (0.0000, 0.1767, 0.2500)  6 Mg 2.66-2.97, 6 Cr 2.78-2.88
Cr (0.0000, 0.4536, 0.2500)  2 Cr 2.35

Properties
For the energy above the most stable polymorph in this dataset, the calculation gives 0.262 eV/atom. For the density of states at the Fermi level, the calculation gives 0.8138 states/eV/atom. Its total moment is 0.0 μB/cell. As for the formation energy: 0.51 eV per atom.

Repeat the fourth record exactly.
# HSeBr

A relaxed structure of HSeBr (GGA-PBE, Alexandria via LeMat-Bulk).

a b c (Å): 4.9465 6.1334 6.4766
angles (deg): 61.83 82.35 69.32
Last column: nearest neighbours and their distance in Å.
Space group P-1 (No. 2)
Asymmetric unit:
H (0.0155, 0.2002, 0.1671)  1 Se 1.51
Se (0.1876, 0.8054, 0.6366)  1 H 1.51
Br (0.3383, 0.3041, 0.8310)  1 H 2.49, 1 Se 2.56

Properties
For the energy above the most stable polymorph in this dataset, the calculation gives 0.000 eV/atom. Its total moment is 0.0 μB/cell.

Please write out number 7 again, unchanged.
# Zn6Ag3Au2

A relaxed structure of Zn6Ag3Au2 (GGA-PBE, Alexandria via LeMat-Bulk).

a b c (Å): 3.7154 3.7154 28.5630
angles (deg): 90.00 90.00 90.00
Last column: nearest neighbours and their distance in Å.
Space group I4/mmm (No. 139)
Asymmetric unit:
Zn (0.0000, 0.0000, 0.2273)  1 Au 2.60, 1 Ag 2.64
Zn (0.0000, 0.5000, 0.0692)  4 Zn 2.63, 2 Au 2.67, 2 Ag 2.71
Ag (0.0000, 0.0000, 0.3198)  5 Zn 2.64-2.95, 4 Au 2.91
Ag (0.0000, 0.0000, 0.5000)  8 Zn 2.71
Au (0.0000, 0.0000, 0.1361)  5 Zn 2.60-2.67, 4 Ag 2.91

Properties
For the energy above the most stable polymorph in this dataset, the calculation gives 0.033 eV/atom. For the density of states at the Fermi level, the calculation gives 0.2174 states/eV/atom. Its total moment is 0.0 μB/cell. As for the formation energy: -0.01 eV per atom.

Repeat the seventh record exactly.
# Zn6Ag3Au2

A relaxed structure of Zn6Ag3Au2 (GGA-PBE, Alexandria via LeMat-Bulk).

a b c (Å): 3.7154 3.7154 28.5630
angles (deg): 90.00 90.00 90.00
Last column: nearest neighbours and their distance in Å.
Space group I4/mmm (No. 139)
Asymmetric unit:
Zn (0.0000, 0.0000, 0.2273)  1 Au 2.60, 1 Ag 2.64
Zn (0.0000, 0.5000, 0.0692)  4 Zn 2.63, 2 Au 2.67, 2 Ag 2.71
Ag (0.0000, 0.0000, 0.3198)  5 Zn 2.64-2.95, 4 Au 2.91
Ag (0.0000, 0.0000, 0.5000)  8 Zn 2.71
Au (0.0000, 0.0000, 0.1361)  5 Zn 2.60-2.67, 4 Ag 2.91

Properties
For the energy above the most stable polymorph in this dataset, the calculation gives 0.033 eV/atom. For the density of states at the Fermi level, the calculation gives 0.2174 states/eV/atom. Its total moment is 0.0 μB/cell. As for the formation energy: -0.01 eV per atom.